<P>
Zn2AuCl | PBE | relaxed

The crystal system is tetragonal.

The structure belongs to space group P4mm (No. 99); the cell edges are 3.614, 3.614 and 7.044 Å and the angles 90.00°, 90.00° and 90.00°. The distinct sites, in fractional coordinates, are Zn at (0.000, 0.000, 0.000), Zn at (0.500, 0.500, 0.390), Au at (0.000, 0.000, 0.360) and Cl at (0.500, 0.500, 0.883).

<Q>
Zn2AuCl | PBE | relaxed

The crystal system is tetragonal.

The structure belongs to space group I4/mmm (No. 139); the cell edges are 4.435, 4.435 and 7.519 Å and the angles 90.00°, 90.00° and 90.00°. The distinct sites, in fractional coordinates, are Zn at (0.000, 0.500, 0.250), Au at (0.000, 0.000, 0.000) and Cl at (0.000, 0.000, 0.500).

Q: Which of them is the most stable? A: <P>.

<P>
Zn2Au2Cl | PBE | relaxed

The crystal system is tetragonal.

The structure belongs to space group I4/mmm (No. 139); the cell edges are 3.935, 3.935 and 12.786 Å and the angles 90.00°, 90.00° and 90.00°. The distinct sites, in fractional coordinates, are Zn at (0.000, 0.000, 0.099), Au at (0.000, 0.500, 0.250) and Cl at (0.000, 0.000, 0.500).

<Q>
Zn2Au2Cl | PBE | relaxed

The crystal system is tetragonal.

The structure belongs to space group P4/mbm (No. 127); the cell edges are 7.726, 7.726 and 3.089 Å and the angles 90.00°, 90.00° and 90.00°. The distinct sites, in fractional coordinates, are Zn at (0.174, 0.326, 0.000), Au at (0.128, 0.628, 0.500) and Cl at (0.000, 0.000, 0.000).

Q: Which of them is the most stable? A: <Q>.